# 1
Computed, not measured: ReTc2Sb after structural relaxation at the PBE level of DFT.

Computed properties:
Total energy, eV/atom: -8.955
Density, g/cm3: 13.1
Uncorrected formation energy, meV/atom: 371

Cell and atoms, written as CIF:
```
data_ReTc2Sb
_chemical_formula_sum 'Re1 Tc2 Sb1'
_cell_length_a 5.2541
_cell_length_b 5.2541
_cell_length_c 5.2541
_cell_angle_alpha 145.22
_cell_angle_beta 128.81
_cell_angle_gamma 63.38
_space_group_name_H-M_alt 'P 1'
_space_group_IT_number 1
loop_
_space_group_symop_operation_xyz
'x,y,z'
loop_
_atom_site_label
_atom_site_type_symbol
_atom_site_fract_x
_atom_site_fract_y
_atom_site_fract_z
Re1 Re 0.0000 0.0000 0.0000
Tc1 Tc 0.2618 0.7618 0.5000
Tc2 Tc 0.7382 0.2382 0.5000
Sb1 Sb 0.5000 0.5000 0.0000
```

# 2
Computed, not measured: Cs3Sb2Cl8 after structural relaxation at the PBE level of DFT.

Computed properties:
Total energy, eV/atom: -3.263
Density, g/cm3: 2.9
Uncorrected formation energy, meV/atom: -1296

Cell and atoms, written as CIF:
```
data_Cs3Sb2Cl8
_chemical_formula_sum 'Cs3 Sb2 Cl8'
_cell_length_a 8.0836
_cell_length_b 8.0922
_cell_length_c 9.8370
_cell_angle_alpha 67.78
_cell_angle_beta 67.80
_cell_angle_gamma 67.44
_space_group_name_H-M_alt 'P 1'
_space_group_IT_number 1
loop_
_space_group_symop_operation_xyz
'x,y,z'
loop_
_atom_site_label
_atom_site_type_symbol
_atom_site_fract_x
_atom_site_fract_y
_atom_site_fract_z
Cs1 Cs 0.0000 0.0000 0.0000
Cs2 Cs 0.1950 0.1955 0.3676
Cs3 Cs 0.8050 0.8045 0.6324
Sb1 Sb 0.4645 0.4646 0.6858
Sb2 Sb 0.5355 0.5354 0.3142
Cl1 Cl 0.2101 0.7892 0.6929
Cl2 Cl 0.2113 0.7906 0.3070
Cl3 Cl 0.2818 0.2835 0.6678
Cl4 Cl 0.3364 0.3366 0.9730
Cl5 Cl 0.6636 0.6634 0.0270
Cl6 Cl 0.7182 0.7165 0.3322
Cl7 Cl 0.7887 0.2094 0.6930
Cl8 Cl 0.7899 0.2108 0.3071
```

# 3
Computed, not measured: CeZrGe2Ir5 after structural relaxation at the PBE level of DFT.

Computed properties:
Formation enthalpy at 0 K, kJ per mole of atoms: -35.07
Total energy, eV/atom: -7.921
Density, g/cm3: 12.1

Cell and atoms, written as CIF:
```
data_CeZrGe2Ir5
_chemical_formula_sum 'Ce1 Zr1 Ge2 Ir5'
_cell_length_a 3.9532
_cell_length_b 3.9532
_cell_length_c 11.7105
_cell_angle_alpha 90.00
_cell_angle_beta 90.00
_cell_angle_gamma 90.00
_space_group_name_H-M_alt 'P 1'
_space_group_IT_number 1
loop_
_space_group_symop_operation_xyz
'x,y,z'
loop_
_atom_site_label
_atom_site_type_symbol
_atom_site_fract_x
_atom_site_fract_y
_atom_site_fract_z
Ce1 Ce 0.0000 0.0000 0.0000
Zr1 Zr 0.0000 0.0000 0.5000
Ge1 Ge 0.5000 0.5000 0.2082
Ge2 Ge 0.5000 0.5000 0.7918
Ir1 Ir 0.0000 0.5000 0.3326
Ir2 Ir 0.0000 0.5000 0.6674
Ir3 Ir 0.5000 0.0000 0.3326
Ir4 Ir 0.5000 0.0000 0.6674
Ir5 Ir 0.5000 0.5000 0.0000
```

# 4
Computed, not measured: MnAl2Fe2 after structural relaxation at the PBE level of DFT.

Computed properties:
Formation enthalpy at 0 K, kJ per mole of atoms: -7.06
Total energy, eV/atom: -6.789
Density, g/cm3: 5.6

Cell and atoms, written as CIF:
```
data_MnAl2Fe2
_chemical_formula_sum 'Mn1 Al2 Fe2'
_cell_length_a 9.2337
_cell_length_b 9.2337
_cell_length_c 2.6429
_cell_angle_alpha 90.00
_cell_angle_beta 90.00
_cell_angle_gamma 163.15
_space_group_name_H-M_alt 'P 1'
_space_group_IT_number 1
loop_
_space_group_symop_operation_xyz
'x,y,z'
loop_
_atom_site_label
_atom_site_type_symbol
_atom_site_fract_x
_atom_site_fract_y
_atom_site_fract_z
Mn1 Mn 0.0000 0.0000 0.0000
Al1 Al 0.4024 0.5976 0.5000
Al2 Al 0.5976 0.4024 0.5000
Fe1 Fe 0.1955 0.8045 0.0000
Fe2 Fe 0.8045 0.1955 0.0000
```

# 5
Computed, not measured: Ca4Pa3InN8 after structural relaxation at the PBE level of DFT.

Computed properties:
Total energy, eV/atom: -7.823
Density, g/cm3: 7.3
Uncorrected formation energy, meV/atom: -1208

Cell and atoms, written as CIF:
```
data_Ca4Pa3InN8
_chemical_formula_sum 'Ca4 Pa3 In1 N8'
_cell_length_a 7.0113
_cell_length_b 7.0113
_cell_length_c 7.0113
_cell_angle_alpha 60.27
_cell_angle_beta 60.27
_cell_angle_gamma 60.27
_space_group_name_H-M_alt 'P 1'
_space_group_IT_number 1
loop_
_space_group_symop_operation_xyz
'x,y,z'
loop_
_atom_site_label
_atom_site_type_symbol
_atom_site_fract_x
_atom_site_fract_y
_atom_site_fract_z
Ca1 Ca 0.0000 0.0000 0.0000
Ca2 Ca 0.0000 0.5000 0.5000
Ca3 Ca 0.5000 0.0000 0.5000
Ca4 Ca 0.5000 0.5000 0.0000
Pa1 Pa 0.0000 0.0000 0.5000
Pa2 Pa 0.0000 0.5000 0.0000
Pa3 Pa 0.5000 0.0000 0.0000
In1 In 0.5000 0.5000 0.5000
N1 N 0.2227 0.7487 0.7487
N2 N 0.2389 0.2389 0.2389
N3 N 0.2513 0.2513 0.7773
N4 N 0.2513 0.7773 0.2513
N5 N 0.7487 0.2227 0.7487
N6 N 0.7487 0.7487 0.2227
N7 N 0.7611 0.7611 0.7611
N8 N 0.7773 0.2513 0.2513
```

# 6
Computed, not measured: LiPm2BeIr2 after structural relaxation at the PBE level of DFT.

Computed properties:
Formation enthalpy at 0 K, kJ per mole of atoms: -48.50
Total energy, eV/atom: -5.980
Density, g/cm3: 10.1

Cell and atoms, written as CIF:
```
data_LiPm2BeIr2
_chemical_formula_sum 'Li2 Pm4 Be2 Ir4'
_cell_length_a 7.9597
_cell_length_b 7.9597
_cell_length_c 7.9597
_cell_angle_alpha 137.38
_cell_angle_beta 61.68
_cell_angle_gamma 137.61
_space_group_name_H-M_alt 'P 1'
_space_group_IT_number 1
loop_
_space_group_symop_operation_xyz
'x,y,z'
loop_
_atom_site_label
_atom_site_type_symbol
_atom_site_fract_x
_atom_site_fract_y
_atom_site_fract_z
Li1 Li 0.2500 0.2500 0.0000
Li2 Li 0.7500 0.7500 0.0000
Pm1 Pm 0.1647 0.2373 0.4020
Pm2 Pm 0.3353 0.7373 0.0726
Pm3 Pm 0.6647 0.2627 0.9274
Pm4 Pm 0.8353 0.7627 0.5980
Be1 Be 0.2500 0.7500 0.5000
Be2 Be 0.7500 0.2500 0.5000
Ir1 Ir 0.1083 0.7156 0.8239
Ir2 Ir 0.3917 0.2156 0.6072
Ir3 Ir 0.6083 0.7844 0.3928
Ir4 Ir 0.8917 0.2844 0.1761
```

# 7
Computed, not measured: BaSb2RhPb after structural relaxation at the PBE level of DFT.

Computed properties:
Total energy, eV/atom: -2.674
Density, g/cm3: 4.9
Uncorrected formation energy, meV/atom: 1572

Cell and atoms, written as CIF:
```
data_BaSb2RhPb
_chemical_formula_sum 'Ba1 Sb2 Rh1 Pb1'
_cell_length_a 6.1149
_cell_length_b 6.1149
_cell_length_c 6.2749
_cell_angle_alpha 90.00
_cell_angle_beta 90.00
_cell_angle_gamma 90.00
_space_group_name_H-M_alt 'P 1'
_space_group_IT_number 1
loop_
_space_group_symop_operation_xyz
'x,y,z'
loop_
_atom_site_label
_atom_site_type_symbol
_atom_site_fract_x
_atom_site_fract_y
_atom_site_fract_z
Ba1 Ba 0.0000 0.0000 0.0000
Sb1 Sb 0.0000 0.5000 0.0000
Sb2 Sb 0.5000 0.0000 0.0000
Rh1 Rh 0.5000 0.5000 0.5000
Pb1 Pb 0.0000 0.0000 0.5000
```

# 8
Computed, not measured: SbP4O12 after structural relaxation at the PBE level of DFT.

Computed properties:
Total energy, eV/atom: -6.901
Density, g/cm3: 3.0
Uncorrected formation energy, meV/atom: -1885

Cell and atoms, written as CIF:
```
data_SbP4O12
_chemical_formula_sum 'Sb2 P8 O24'
_cell_length_a 7.2864
_cell_length_b 7.8013
_cell_length_c 10.0105
_cell_angle_alpha 95.36
_cell_angle_beta 108.76
_cell_angle_gamma 111.48
_space_group_name_H-M_alt 'P 1'
_space_group_IT_number 1
loop_
_space_group_symop_operation_xyz
'x,y,z'
loop_
_atom_site_label
_atom_site_type_symbol
_atom_site_fract_x
_atom_site_fract_y
_atom_site_fract_z
Sb1 Sb 0.0000 0.0000 0.0000
Sb2 Sb 0.0000 0.5000 0.5000
P1 P 0.0158 0.1603 0.6935
P2 P 0.2755 0.2161 0.5146
P3 P 0.2931 0.7646 0.0390
P4 P 0.4907 0.8234 0.8152
P5 P 0.5093 0.1766 0.1848
P6 P 0.7069 0.2354 0.9610
P7 P 0.7245 0.7839 0.4854
P8 P 0.9842 0.8397 0.3065
O1 O 0.0051 0.3478 0.6851
O2 O 0.0746 0.1363 0.8521
O3 O 0.1192 0.2932 0.4323
O4 O 0.1209 0.8265 0.9440
O5 O 0.1937 0.1378 0.6451
O6 O 0.2050 0.0083 0.4076
O7 O 0.2353 0.6058 0.1053
O8 O 0.2861 0.1781 0.1511
O9 O 0.3343 0.7185 0.6662
O10 O 0.4140 0.7353 0.9352
O11 O 0.4783 0.9620 0.1559
O12 O 0.4926 0.6836 0.4268
O13 O 0.5074 0.3164 0.5732
O14 O 0.5217 0.0380 0.8441
O15 O 0.5860 0.2647 0.0648
O16 O 0.6657 0.2815 0.3338
O17 O 0.7139 0.8219 0.8489
O18 O 0.7647 0.3942 0.8947
O19 O 0.7950 0.9917 0.5924
O20 O 0.8063 0.8622 0.3549
O21 O 0.8791 0.1735 0.0560
O22 O 0.8808 0.7068 0.5677
O23 O 0.9254 0.8637 0.1479
O24 O 0.9949 0.6522 0.3149
```

# 9
Computed, not measured: Tl2Cr2FeSe6 after structural relaxation at the PBE level of DFT.

Computed properties:
Total energy, eV/atom: -5.247
Density, g/cm3: 6.5
Uncorrected formation energy, meV/atom: -397

Cell and atoms, written as CIF:
```
data_Tl2Cr2FeSe6
_chemical_formula_sum 'Tl2 Cr2 Fe1 Se6'
_cell_length_a 6.3916
_cell_length_b 6.3916
_cell_length_c 7.9001
_cell_angle_alpha 98.23
_cell_angle_beta 98.23
_cell_angle_gamma 120.09
_space_group_name_H-M_alt 'P 1'
_space_group_IT_number 1
loop_
_space_group_symop_operation_xyz
'x,y,z'
loop_
_atom_site_label
_atom_site_type_symbol
_atom_site_fract_x
_atom_site_fract_y
_atom_site_fract_z
Tl1 Tl 0.1700 0.8300 0.0000
Tl2 Tl 0.8300 0.1700 0.0000
Cr1 Cr 0.3303 0.6697 0.5000
Cr2 Cr 0.6697 0.3303 0.5000
Fe1 Fe 0.0000 0.0000 0.5000
Se1 Se 0.0650 0.3882 0.6783
Se2 Se 0.2626 0.2626 0.3240
Se3 Se 0.3882 0.0650 0.6783
Se4 Se 0.6118 0.9350 0.3217
Se5 Se 0.7374 0.7374 0.6760
Se6 Se 0.9350 0.6118 0.3217
```

# 10
Computed, not measured: YAgBi2S5 after structural relaxation at the PBE level of DFT.

Computed properties:
Total energy, eV/atom: -4.928
Density, g/cm3: 5.2
Uncorrected formation energy, meV/atom: -737

Cell and atoms, written as CIF:
```
data_YAgBi2S5
_chemical_formula_sum 'Y2 Ag2 Bi4 S10'
_cell_length_a 9.5535
_cell_length_b 9.5535
_cell_length_c 13.0641
_cell_angle_alpha 90.00
_cell_angle_beta 90.00
_cell_angle_gamma 155.67
_space_group_name_H-M_alt 'P 1'
_space_group_IT_number 1
loop_
_space_group_symop_operation_xyz
'x,y,z'
loop_
_atom_site_label
_atom_site_type_symbol
_atom_site_fract_x
_atom_site_fract_y
_atom_site_fract_z
Y1 Y 0.2036 0.7964 0.5000
Y2 Y 0.7964 0.2036 0.0000
Ag1 Ag 0.4356 0.5644 0.9368
Ag2 Ag 0.5644 0.4356 0.4368
Bi1 Bi 0.0897 0.9103 0.7436
Bi2 Bi 0.1592 0.8408 0.1856
Bi3 Bi 0.8408 0.1592 0.6856
Bi4 Bi 0.9103 0.0897 0.2436
S1 S 0.0607 0.9393 0.5516
S2 S 0.2966 0.7034 0.1522
S3 S 0.3006 0.6994 0.8596
S4 S 0.3484 0.6516 0.5478
S5 S 0.4970 0.5030 0.7690
S6 S 0.5030 0.4970 0.2690
S7 S 0.6516 0.3484 0.0478
S8 S 0.6994 0.3006 0.3596
S9 S 0.7034 0.2966 0.6522
S10 S 0.9393 0.0607 0.0516
```

# 11
Computed, not measured: Ac3AlTl3 after structural relaxation at the PBE level of DFT.

Computed properties:
Formation enthalpy at 0 K, kJ per mole of atoms: -32.91
Total energy, eV/atom: -3.651
Density, g/cm3: 9.4

Cell and atoms, written as CIF:
```
data_Ac3AlTl3
_chemical_formula_sum 'Ac6 Al2 Tl6'
_cell_length_a 6.6909
_cell_length_b 6.6909
_cell_length_c 16.2881
_cell_angle_alpha 107.40
_cell_angle_beta 107.40
_cell_angle_gamma 42.59
_space_group_name_H-M_alt 'P 1'
_space_group_IT_number 1
loop_
_space_group_symop_operation_xyz
'x,y,z'
loop_
_atom_site_label
_atom_site_type_symbol
_atom_site_fract_x
_atom_site_fract_y
_atom_site_fract_z
Ac1 Ac 0.0188 0.0188 0.3860
Ac2 Ac 0.1033 0.1033 0.9207
Ac3 Ac 0.2375 0.2375 0.2327
Ac4 Ac 0.7625 0.7625 0.7673
Ac5 Ac 0.8967 0.8967 0.0793
Ac6 Ac 0.9812 0.9812 0.6140
Al1 Al 0.2750 0.2750 0.6182
Al2 Al 0.7250 0.7250 0.3818
Tl1 Tl 0.3433 0.3433 0.4596
Tl2 Tl 0.3842 0.3842 0.9228
Tl3 Tl 0.4818 0.4818 0.7653
Tl4 Tl 0.5182 0.5182 0.2347
Tl5 Tl 0.6158 0.6158 0.0772
Tl6 Tl 0.6567 0.6567 0.5404
```

# 12
Computed, not measured: Ac5Pb2C after structural relaxation at the PBE level of DFT.

Computed properties:
Formation enthalpy at 0 K, kJ per mole of atoms: 5.98
Total energy, eV/atom: -4.586
Density, g/cm3: 7.6

Cell and atoms, written as CIF:
```
data_Ac5Pb2C
_chemical_formula_sum 'Ac10 Pb4 C2'
_cell_length_a 9.2883
_cell_length_b 9.2883
_cell_length_c 13.6542
_cell_angle_alpha 90.00
_cell_angle_beta 90.00
_cell_angle_gamma 144.45
_space_group_name_H-M_alt 'P 1'
_space_group_IT_number 1
loop_
_space_group_symop_operation_xyz
'x,y,z'
loop_
_atom_site_label
_atom_site_type_symbol
_atom_site_fract_x
_atom_site_fract_y
_atom_site_fract_z
Ac1 Ac 0.0767 0.9233 0.6121
Ac2 Ac 0.0767 0.9233 0.8879
Ac3 Ac 0.2894 0.7106 0.5852
Ac4 Ac 0.2894 0.7106 0.9148
Ac5 Ac 0.3022 0.6978 0.2500
Ac6 Ac 0.6978 0.3022 0.7500
Ac7 Ac 0.7106 0.2894 0.0852
Ac8 Ac 0.7106 0.2894 0.4148
Ac9 Ac 0.9233 0.0767 0.1121
Ac10 Ac 0.9233 0.0767 0.3879
Pb1 Pb 0.1203 0.8797 0.1316
Pb2 Pb 0.1203 0.8797 0.3684
Pb3 Pb 0.8797 0.1203 0.6316
Pb4 Pb 0.8797 0.1203 0.8684
C1 C 0.1730 0.8270 0.7500
C2 C 0.8270 0.1730 0.2500
```